# PBE YSbP4, optimized geometry
data_YSbP4
_chemical_formula_sum 'Y4 Sb4 P16'
_symmetry_space_group_name_H-M 'F -4 3 m'
_symmetry_Int_Tables_number 216
_symmetry_space_group_name_Hall 'F -4 2 3'
_cell_length_a 7.6522
_cell_length_b 7.6522
_cell_length_c 7.6522
_cell_angle_alpha 90.00
_cell_angle_beta 90.00
_cell_angle_gamma 90.00
loop_
_atom_site_label
_atom_site_fract_x
_atom_site_fract_y
_atom_site_fract_z
Y1 0.0000 0.0000 0.0000
Sb1 0.2500 0.2500 0.2500
P1 0.1346 0.1346 0.6346
# total magnetic moment: 0.0 Bohr magnetons per cell
# Fermi-level density of states: 2.85 states/eV/f.u.
# energy relative to the elements, uncorrected: 66 meV per atom

***

# PBE Y2SbP, optimized geometry
data_Y2SbP
_chemical_formula_sum 'Y2 Sb1 P1'
_symmetry_space_group_name_H-M 'P m m m'
_symmetry_Int_Tables_number 47
_cell_length_a 3.8637
_cell_length_b 4.4839
_cell_length_c 5.8008
_cell_angle_alpha 90.00
_cell_angle_beta 90.00
_cell_angle_gamma 90.00
loop_
_symmetry_equiv_pos_as_xyz
'x,y,z'
'-x,-y,-z'
'-x,-y,z'
'x,y,-z'
'x,-y,-z'
'-x,y,z'
'-x,y,-z'
'x,-y,z'
loop_
_atom_site_label
_atom_site_fract_x
_atom_site_fract_y
_atom_site_fract_z
Y1 0.0000 0.0000 0.0000
Y2 0.0000 0.5000 0.5000
Sb1 0.5000 0.0000 0.5000
P1 0.5000 0.5000 0.0000
# total magnetic moment: 0.0 Bohr magnetons per cell
# Fermi-level density of states: 1.42 states/eV/f.u.
# energy relative to the elements, uncorrected: -920 meV per atom

***

# PBE YSbP, optimized geometry
data_YSbP
_chemical_formula_sum 'Y1 Sb1 P1'
_symmetry_space_group_name_H-M 'P 3 m 1'
_symmetry_Int_Tables_number 156
_cell_length_a 3.7787
_cell_length_b 3.7787
_cell_length_c 6.1051
_cell_angle_alpha 90.00
_cell_angle_beta 90.00
_cell_angle_gamma 120.00
loop_
_symmetry_equiv_pos_as_xyz
'x,y,z'
'-y,x-y,z'
'-x+y,-x,z'
'-y,-x,z'
'-x+y,y,z'
'x,x-y,z'
loop_
_atom_site_label
_atom_site_fract_x
_atom_site_fract_y
_atom_site_fract_z
Y1 0.0000 0.0000 0.0000
Sb1 0.3333 0.6667 0.5951
P1 0.6667 0.3333 0.2824
# E above lowest polymorph: 501 meV per atom
# total magnetic moment: 0.0 Bohr magnetons per cell
# Fermi-level density of states: 2.83 states/eV/f.u.
# energy relative to the elements, uncorrected: -294 meV per atom

***

# PBE YSb2P, optimized geometry
data_YSb2P
_chemical_formula_sum 'Y1 Sb2 P1'
_symmetry_space_group_name_H-M 'P 4 m m'
_symmetry_Int_Tables_number 99
_cell_length_a 3.4534
_cell_length_b 3.4534
_cell_length_c 8.4386
_cell_angle_alpha 90.00
_cell_angle_beta 90.00
_cell_angle_gamma 90.00
loop_
_symmetry_equiv_pos_as_xyz
'x,y,z'
'-y,x,z'
'-x,-y,z'
'y,-x,z'
'-x,y,z'
'y,x,z'
'x,-y,z'
'-y,-x,z'
loop_
_atom_site_label
_atom_site_fract_x
_atom_site_fract_y
_atom_site_fract_z
Y1 0.0000 0.0000 0.0000
Sb1 0.0000 0.0000 0.6249
Sb2 0.5000 0.5000 0.2643
P1 0.5000 0.5000 0.8044
# total magnetic moment: 0.0 Bohr magnetons per cell
# Fermi-level density of states: 2.69 states/eV/f.u.
# energy relative to the elements, uncorrected: -312 meV per atom

***

# PBE YSbP, optimized geometry
data_YSbP
_chemical_formula_sum 'Y1 Sb1 P1'
_symmetry_space_group_name_H-M 'P -6 m 2'
_symmetry_Int_Tables_number 187
_symmetry_space_group_name_Hall 'P -6 2'
_cell_length_a 4.6875
_cell_length_b 4.6875
_cell_length_c 3.7924
_cell_angle_alpha 90.00
_cell_angle_beta 90.00
_cell_angle_gamma 120.00
loop_
_atom_site_label
_atom_site_fract_x
_atom_site_fract_y
_atom_site_fract_z
Y1 0.0000 0.0000 0.0000
Sb1 0.6667 0.3333 0.5000
P1 0.3333 0.6667 0.5000
# E above lowest polymorph: 391 meV per atom
# total magnetic moment: 0.0 Bohr magnetons per cell
# Fermi-level density of states: 1.66 states/eV/f.u.
# energy relative to the elements, uncorrected: -403 meV per atom

***

# PBE Y2SbP, optimized geometry
data_Y2SbP
_chemical_formula_sum 'Y8 Sb4 P4'
_symmetry_space_group_name_H-M 'F m -3 m'
_symmetry_Int_Tables_number 225
_symmetry_space_group_name_Hall '-F 4 2 3'
_cell_length_a 7.3209
_cell_length_b 7.3209
_cell_length_c 7.3209
_cell_angle_alpha 90.00
_cell_angle_beta 90.00
_cell_angle_gamma 90.00
loop_
_atom_site_label
_atom_site_fract_x
_atom_site_fract_y
_atom_site_fract_z
Y1 0.2500 0.2500 0.2500
Sb1 0.0000 0.0000 0.0000
P1 0.0000 0.0000 0.5000
# total magnetic moment: 0.0 Bohr magnetons per cell
# Fermi-level density of states: 1.47 states/eV/f.u.
# energy relative to the elements, uncorrected: -847 meV per atom

***

# PBE YSb2P, optimized geometry
data_YSb2P
_chemical_formula_sum 'Y4 Sb8 P4'
_symmetry_space_group_name_H-M 'F -4 3 m'
_symmetry_Int_Tables_number 216
_symmetry_space_group_name_Hall 'F -4 2 3'
_cell_length_a 7.3469
_cell_length_b 7.3469
_cell_length_c 7.3469
_cell_angle_alpha 90.00
_cell_angle_beta 90.00
_cell_angle_gamma 90.00
loop_
_atom_site_label
_atom_site_fract_x
_atom_site_fract_y
_atom_site_fract_z
Y1 0.0000 0.0000 0.0000
Sb1 0.0000 0.0000 0.5000
Sb2 0.2500 0.2500 0.2500
P1 0.2500 0.2500 0.7500
# total magnetic moment: 0.0 Bohr magnetons per cell
# Fermi-level density of states: 1.98 states/eV/f.u.
# energy relative to the elements, uncorrected: -141 meV per atom

***

# PBE Y5Sb4P, optimized geometry
data_Y5Sb4P
_chemical_formula_sum 'Y10 Sb8 P2'
_symmetry_space_group_name_H-M 'I 4/m m m'
_symmetry_Int_Tables_number 139
_symmetry_space_group_name_Hall '-I 4 2'
_cell_length_a 4.3287
_cell_length_b 4.3287
_cell_length_c 30.5032
_cell_angle_alpha 90.00
_cell_angle_beta 90.00
_cell_angle_gamma 90.00
loop_
_atom_site_label
_atom_site_fract_x
_atom_site_fract_y
_atom_site_fract_z
Y1 0.0000 0.0000 0.0000
Y2 0.0000 0.0000 0.2007
Y3 0.0000 0.0000 0.4077
Sb1 0.0000 0.0000 0.0993
Sb2 0.0000 0.0000 0.3029
P1 0.0000 0.0000 0.5000
# total magnetic moment: 0.0 Bohr magnetons per cell
# Fermi-level density of states: 1.29 states/eV/f.u.
# energy relative to the elements, uncorrected: -1217 meV per atom

***

# PBE Y2SbP2, optimized geometry
data_Y2SbP2
_chemical_formula_sum 'Y4 Sb2 P4'
_symmetry_space_group_name_H-M 'P 4/m b m'
_symmetry_Int_Tables_number 127
_symmetry_space_group_name_Hall '-P 4 2ab'
_cell_length_a 7.7365
_cell_length_b 7.7365
_cell_length_c 3.7435
_cell_angle_alpha 90.00
_cell_angle_beta 90.00
_cell_angle_gamma 90.00
loop_
_atom_site_label
_atom_site_fract_x
_atom_site_fract_y
_atom_site_fract_z
Y1 0.1582 0.3418 0.0000
Sb1 0.0000 0.0000 0.5000
P1 0.1466 0.6466 0.5000
# E above lowest polymorph: 36 meV per atom
# total magnetic moment: 0.0 Bohr magnetons per cell
# Fermi-level density of states: 3.42 states/eV/f.u.
# energy relative to the elements, uncorrected: -940 meV per atom

***

# PBE YSb3P, optimized geometry
data_YSb3P
_chemical_formula_sum 'Y1 Sb3 P1'
_symmetry_space_group_name_H-M 'P m -3 m'
_symmetry_Int_Tables_number 221
_symmetry_space_group_name_Hall '-P 4 2 3'
_cell_length_a 5.7731
_cell_length_b 5.7731
_cell_length_c 5.7731
_cell_angle_alpha 90.00
_cell_angle_beta 90.00
_cell_angle_gamma 90.00
loop_
_atom_site_label
_atom_site_fract_x
_atom_site_fract_y
_atom_site_fract_z
Y1 0.0000 0.0000 0.0000
Sb1 0.0000 0.0000 0.5000
P1 0.5000 0.5000 0.5000
# E above lowest polymorph: 775 meV per atom
# total magnetic moment: 2.4 Bohr magnetons per cell
# Fermi-level density of states: 3.99 states/eV/f.u.
# energy relative to the elements, uncorrected: 878 meV per atom

***

# PBE YSb3P, optimized geometry
data_YSb3P
_chemical_formula_sum 'Y1 Sb3 P1'
_symmetry_space_group_name_H-M 'P m -3 m'
_symmetry_Int_Tables_number 221
_symmetry_space_group_name_Hall '-P 4 2 3'
_cell_length_a 5.1903
_cell_length_b 5.1903
_cell_length_c 5.1903
_cell_angle_alpha 90.00
_cell_angle_beta 90.00
_cell_angle_gamma 90.00
loop_
_atom_site_label
_atom_site_fract_x
_atom_site_fract_y
_atom_site_fract_z
Y1 0.0000 0.0000 0.0000
Sb1 0.0000 0.5000 0.5000
P1 0.5000 0.5000 0.5000
# E above lowest polymorph: 0 meV per atom
# total magnetic moment: 0.0 Bohr magnetons per cell
# Fermi-level density of states: 3.71 states/eV/f.u.
# energy relative to the elements, uncorrected: 103 meV per atom

***

# PBE YSb2P, optimized geometry
data_YSb2P
_chemical_formula_sum 'Y4 Sb8 P4'
_symmetry_space_group_name_H-M 'I -4 2 d'
_symmetry_Int_Tables_number 122
_symmetry_space_group_name_Hall 'I -4 2bw'
_cell_length_a 8.2926
_cell_length_b 8.2926
_cell_length_c 5.9621
_cell_angle_alpha 90.00
_cell_angle_beta 90.00
_cell_angle_gamma 90.00
loop_
_atom_site_label
_atom_site_fract_x
_atom_site_fract_y
_atom_site_fract_z
Y1 0.0000 0.0000 0.0000
Sb1 0.2178 0.2500 0.6250
P1 0.0000 0.0000 0.5000
# total magnetic moment: 0.0 Bohr magnetons per cell
# Fermi-level density of states: 2.44 states/eV/f.u.
# energy relative to the elements, uncorrected: -226 meV per atom

***

# PBE Y2SbP, optimized geometry
data_Y2SbP
_chemical_formula_sum 'Y8 Sb4 P4'
_symmetry_space_group_name_H-M 'I -4 2 d'
_symmetry_Int_Tables_number 122
_symmetry_space_group_name_Hall 'I -4 2bw'
_cell_length_a 7.5889
_cell_length_b 7.5889
_cell_length_c 7.9402
_cell_angle_alpha 90.00
_cell_angle_beta 90.00
_cell_angle_gamma 90.00
loop_
_atom_site_label
_atom_site_fract_x
_atom_site_fract_y
_atom_site_fract_z
Y1 0.2141 0.2500 0.1250
Sb1 0.0000 0.0000 0.5000
P1 0.0000 0.0000 0.0000
# total magnetic moment: 0.0 Bohr magnetons per cell
# Fermi-level density of states: 0.17 states/eV/f.u.
# energy relative to the elements, uncorrected: -964 meV per atom

***

# PBE Y2SbP, optimized geometry
data_Y2SbP
_chemical_formula_sum 'Y6 Sb3 P3'
_symmetry_space_group_name_H-M 'R -3 m'
_symmetry_Int_Tables_number 166
_symmetry_space_group_name_Hall '-R 3 2"'
_cell_length_a 4.1616
_cell_length_b 4.1616
_cell_length_c 20.9347
_cell_angle_alpha 90.00
_cell_angle_beta 90.00
_cell_angle_gamma 120.00
loop_
_atom_site_label
_atom_site_fract_x
_atom_site_fract_y
_atom_site_fract_z
Y1 0.0000 0.0000 0.2415
Sb1 0.0000 0.0000 0.0000
P1 0.0000 0.0000 0.5000
# total magnetic moment: 0.0 Bohr magnetons per cell
# Fermi-level density of states: 0.64 states/eV/f.u.
# energy relative to the elements, uncorrected: -1364 meV per atom

***

# PBE Y2SbP, optimized geometry
data_Y2SbP
_chemical_formula_sum 'Y4 Sb2 P2'
_symmetry_space_group_name_H-M 'C 1 2/m 1'
_symmetry_Int_Tables_number 12
_cell_length_a 7.3064
_cell_length_b 7.6886
_cell_length_c 3.6959
_cell_angle_alpha 90.00
_cell_angle_beta 104.35
_cell_angle_gamma 90.00
loop_
_symmetry_equiv_pos_as_xyz
'x,y,z'
'-x,-y,-z'
'-x,y,-z'
'x,-y,z'
'x+1/2,y+1/2,z'
'-x+1/2,-y+1/2,-z'
'-x+1/2,y+1/2,-z'
'x+1/2,-y+1/2,z'
loop_
_atom_site_label
_atom_site_fract_x
_atom_site_fract_y
_atom_site_fract_z
Y1 0.2500 0.2500 0.0000
Sb1 0.0000 0.0000 0.5000
P1 0.0000 0.5000 0.5000
# total magnetic moment: 0.0 Bohr magnetons per cell
# Fermi-level density of states: 1.11 states/eV/f.u.
# energy relative to the elements, uncorrected: -919 meV per atom

***

# PBE Y2SbP, optimized geometry
data_Y2SbP
_chemical_formula_sum 'Y4 Sb2 P2'
_symmetry_space_group_name_H-M 'I m m 2'
_symmetry_Int_Tables_number 44
_cell_length_a 3.6647
_cell_length_b 3.9812
_cell_length_c 14.5464
_cell_angle_alpha 90.00
_cell_angle_beta 90.00
_cell_angle_gamma 90.00
loop_
_symmetry_equiv_pos_as_xyz
'x,y,z'
'-x,-y,z'
'-x,y,z'
'x,-y,z'
'x+1/2,y+1/2,z+1/2'
'-x+1/2,-y+1/2,z+1/2'
'-x+1/2,y+1/2,z+1/2'
'x+1/2,-y+1/2,z+1/2'
loop_
_atom_site_label
_atom_site_fract_x
_atom_site_fract_y
_atom_site_fract_z
Y1 0.0000 0.0000 0.0000
Y2 0.0000 0.5000 0.2216
Sb1 0.0000 0.5000 0.8319
P1 0.0000 0.0000 0.5741
# total magnetic moment: 0.0 Bohr magnetons per cell
# Fermi-level density of states: 1.45 states/eV/f.u.
# energy relative to the elements, uncorrected: -1089 meV per atom

***

# PBE YSb2P, optimized geometry
data_YSb2P
_chemical_formula_sum 'Y3 Sb6 P3'
_symmetry_space_group_name_H-M 'R 3 m'
_symmetry_Int_Tables_number 160
_symmetry_space_group_name_Hall 'R 3 -2"'
_cell_length_a 4.1938
_cell_length_b 4.1938
_cell_length_c 21.0923
_cell_angle_alpha 90.00
_cell_angle_beta 90.00
_cell_angle_gamma 120.00
loop_
_atom_site_label
_atom_site_fract_x
_atom_site_fract_y
_atom_site_fract_z
Y1 0.0000 0.0000 0.0000
Sb1 0.0000 0.0000 0.2342
Sb2 0.0000 0.0000 0.4818
P1 0.0000 0.0000 0.7341
# total magnetic moment: 0.0 Bohr magnetons per cell
# Fermi-level density of states: 0.07 states/eV/f.u.
# energy relative to the elements, uncorrected: -502 meV per atom

***

# PBE Y2SbP, optimized geometry
data_Y2SbP
_chemical_formula_sum 'Y4 Sb2 P2'
_symmetry_space_group_name_H-M 'I -4 m 2'
_symmetry_Int_Tables_number 119
_symmetry_space_group_name_Hall 'I -4 -2'
_cell_length_a 4.2171
_cell_length_b 4.2171
_cell_length_c 11.0889
_cell_angle_alpha 90.00
_cell_angle_beta 90.00
_cell_angle_gamma 90.00
loop_
_atom_site_label
_atom_site_fract_x
_atom_site_fract_y
_atom_site_fract_z
Y1 0.0000 0.0000 0.0000
Y2 0.0000 0.5000 0.2500
Sb1 0.0000 0.0000 0.5000
P1 0.0000 0.5000 0.7500
# total magnetic moment: 0.0 Bohr magnetons per cell
# Fermi-level density of states: 1.29 states/eV/f.u.
# energy relative to the elements, uncorrected: -870 meV per atom

***

# PBE Y2SbP, optimized geometry
data_Y2SbP
_chemical_formula_sum 'Y4 Sb2 P2'
_symmetry_space_group_name_H-M 'I m m m'
_symmetry_Int_Tables_number 71
_symmetry_space_group_name_Hall '-I 2 2'
_cell_length_a 4.3601
_cell_length_b 5.9324
_cell_length_c 7.8375
_cell_angle_alpha 90.00
_cell_angle_beta 90.00
_cell_angle_gamma 90.00
loop_
_atom_site_label
_atom_site_fract_x
_atom_site_fract_y
_atom_site_fract_z
Y1 0.0000 0.0000 0.2298
Sb1 0.0000 0.5000 0.0000
P1 0.0000 0.5000 0.5000
# total magnetic moment: 0.0 Bohr magnetons per cell
# Fermi-level density of states: 1.17 states/eV/f.u.
# energy relative to the elements, uncorrected: -970 meV per atom

***

# PBE Y2SbP, optimized geometry
data_Y2SbP
_chemical_formula_sum 'Y2 Sb1 P1'
_symmetry_space_group_name_H-M 'P 1 2/m 1'
_symmetry_Int_Tables_number 10
_cell_length_a 3.6151
_cell_length_b 3.7519
_cell_length_c 7.5802
_cell_angle_alpha 90.00
_cell_angle_beta 103.76
_cell_angle_gamma 90.00
loop_
_symmetry_equiv_pos_as_xyz
'x,y,z'
'-x,-y,-z'
'-x,y,-z'
'x,-y,z'
loop_
_atom_site_label
_atom_site_fract_x
_atom_site_fract_y
_atom_site_fract_z
Y1 0.0608 0.0000 0.2742
Sb1 0.5000 0.5000 0.0000
P1 0.5000 0.5000 0.5000
# total magnetic moment: 0.0 Bohr magnetons per cell
# Fermi-level density of states: 1.65 states/eV/f.u.
# energy relative to the elements, uncorrected: -1003 meV per atom